# 1
{"formula": "TlGeSbAu2", "functional": "GGA-PBE", "state": "optimized geometry", "magnetic_moment_mub_per_cell": 0.000, "raw_formation_energy_ev_per_fu": -0.1, "sg": "C2/m", "lattice": [[-3.558, -1.141, -2.480], [-5.065, -4.475, 5.272], [-4.853, 5.189, 0.520]], "species": ["Au", "Au", "Au", "Au", "Ge", "Ge", "Tl", "Tl", "Sb", "Sb"], "fractional_positions": [[0.650, 0.083, 0.616], [0.350, 0.917, 0.384], [0.155, 0.730, 0.960], [0.845, 0.270, 0.040], [0.900, 0.988, 0.212], [0.100, 0.012, 0.788], [0.150, 0.318, 0.381], [0.850, 0.682, 0.619], [0.612, 0.619, 0.156], [0.388, 0.381, 0.844]]}


# 2
{"formula": "ScGaI2O", "functional": "GGA-PBE", "state": "optimized geometry", "polymorph_energy_mev_per_atom": 0, "magnetic_moment_mub_per_cell": 0.000, "raw_formation_energy_ev_per_fu": -6.6, "sg": "P4/mmm", "lattice": [[6.024, 0.000, 0.000], [0.000, 6.024, 0.000], [0.000, 0.000, 3.917]], "species": ["Ga", "I", "I", "Sc", "O"], "fractional_positions": [[0.500, 0.500, 0.500], [0.000, 0.500, 0.000], [0.500, 0.000, 0.000], [0.000, 0.000, 0.000], [0.000, 0.000, 0.500]]}


# 3
{"formula": "Tl5Cd2In4", "functional": "GGA-PBE", "state": "optimized geometry", "polymorph_energy_mev_per_atom": 93, "magnetic_moment_mub_per_cell": 0.000, "delta_e_f_ev_per_atom": 0.130, "sg": "Immm", "lattice": [[-2.053, 1.465, 2.171], [1.960, -6.619, 6.320], [8.254, 8.561, -0.523]], "species": ["Cd", "Cd", "Tl", "Tl", "Tl", "Tl", "Tl", "In", "In", "In", "In"], "fractional_positions": [[0.884, 0.884, 0.767], [0.116, 0.116, 0.233], [0.849, 0.163, 0.699], [0.500, 0.000, 0.000], [0.151, 0.837, 0.301], [0.849, 0.536, 0.699], [0.151, 0.464, 0.301], [0.250, 0.250, 0.500], [0.750, 0.750, 0.500], [0.000, 0.668, 0.000], [0.000, 0.332, 0.000]]}


# 4
{"formula": "LiTb3Sn12", "functional": "GGA-PBE", "state": "optimized geometry", "magnetic_moment_mub_per_cell": 0.000, "delta_e_f_ev_per_atom": -0.368, "sg": "P4/mmm", "lattice": [[4.659, 0.000, 0.000], [0.000, 4.659, 0.000], [0.000, 0.000, 19.120]], "species": ["Sn", "Sn", "Sn", "Sn", "Sn", "Sn", "Sn", "Sn", "Sn", "Sn", "Sn", "Sn", "Li", "Tb", "Tb", "Tb"], "fractional_positions": [[0.500, 0.000, 0.626], [0.000, 0.500, 0.880], [0.500, 0.500, 0.755], [0.000, 0.500, 0.374], [0.500, 0.500, 0.500], [0.500, 0.500, 0.000], [0.500, 0.000, 0.374], [0.500, 0.500, 0.245], [0.500, 0.000, 0.120], [0.000, 0.500, 0.626], [0.000, 0.500, 0.120], [0.500, 0.000, 0.880], [0.000, 0.000, 0.000], [0.000, 0.000, 0.748], [0.000, 0.000, 0.252], [0.000, 0.000, 0.500]]}


# 5
{"formula": "Hf3CdIn", "functional": "GGA-PBE", "state": "optimized geometry", "polymorph_energy_mev_per_atom": 0, "magnetic_moment_mub_per_cell": 0.000, "delta_e_f_ev_per_atom": 0.263, "sg": "Cmcm", "lattice": [[-2.261, -5.021, 1.321], [3.919, -2.519, -2.867], [5.541, 2.185, 5.655]], "species": ["In", "In", "Cd", "Cd", "Hf", "Hf", "Hf", "Hf", "Hf", "Hf"], "fractional_positions": [[0.174, 0.250, 0.347], [0.826, 0.750, 0.653], [0.449, 0.750, 0.897], [0.551, 0.250, 0.103], [0.000, 0.000, 0.000], [0.091, 0.250, 0.690], [0.401, 0.750, 0.310], [0.599, 0.250, 0.690], [0.000, 0.500, 0.000], [0.909, 0.750, 0.310]]}


# 6
{"formula": "CrNi3Pt2", "functional": "GGA-PBE", "state": "optimized geometry", "magnetic_moment_mub_per_cell": 19.030, "delta_e_f_ev_per_atom": 0.136, "sg": "I4_1/amd", "lattice": [[7.129, 0.000, -3.922], [-2.158, 6.795, -3.922], [-0.401, -0.549, 7.711]], "species": ["Ni", "Ni", "Ni", "Ni", "Ni", "Ni", "Ni", "Ni", "Ni", "Ni", "Ni", "Ni", "Pt", "Pt", "Pt", "Pt", "Pt", "Pt", "Pt", "Pt", "Cr", "Cr", "Cr", "Cr"], "fractional_positions": [[0.125, 0.375, 0.250], [0.625, 0.875, 0.750], [0.125, 0.875, 0.250], [0.722, 0.278, 0.000], [0.722, 0.722, 0.000], [0.125, 0.875, 0.750], [0.278, 0.278, 0.000], [0.528, 0.028, 0.500], [0.972, 0.028, 0.500], [0.972, 0.472, 0.500], [0.528, 0.472, 0.500], [0.278, 0.722, 0.000], [0.357, 0.678, 0.715], [0.357, 0.037, 0.715], [0.893, 0.713, 0.785], [0.322, 0.643, 0.285], [0.287, 0.107, 0.215], [0.963, 0.643, 0.285], [0.893, 0.072, 0.785], [0.928, 0.107, 0.215], [0.661, 0.661, 0.321], [0.911, 0.411, 0.821], [0.589, 0.089, 0.179], [0.339, 0.339, 0.679]]}


# 7
{"formula": "AcHo2S", "functional": "GGA-PBE", "state": "optimized geometry", "magnetic_moment_mub_per_cell": 0.000, "raw_formation_energy_ev_per_fu": -3.1, "sg": "R-3m", "lattice": [[3.729, 0.000, 0.000], [1.864, 3.229, 0.000], [1.864, 1.076, 10.420]], "species": ["Ho", "Ho", "Ac", "S"], "fractional_positions": [[0.885, 0.885, 0.346], [0.115, 0.115, 0.654], [0.000, 0.000, 0.000], [0.500, 0.500, 0.500]]}


# 8
{"formula": "ScAuSN2", "functional": "GGA-PBE", "state": "optimized geometry", "polymorph_energy_mev_per_atom": 0, "magnetic_moment_mub_per_cell": 3.547, "raw_formation_energy_ev_per_fu": 4.1, "sg": "P4/mmm", "lattice": [[4.154, 0.000, 0.000], [0.000, 4.154, 0.000], [0.000, 0.000, 5.236]], "species": ["Sc", "S", "N", "N", "Au"], "fractional_positions": [[0.000, 0.000, 0.000], [0.000, 0.000, 0.500], [0.500, 0.000, 0.000], [0.000, 0.500, 0.000], [0.500, 0.500, 0.500]]}


no.,total energy (eV per atom)
1,-3.55
2,-4.80
3,-2.11
4,-4.36
5,-6.44
6,-6.37
7,-5.12
8,-5.25